The following is a DFT calculation (PBE) of Pd16S7 after structural relaxation.

Output
Space group   I-43m (217)
Total energy   -5.1058 eV per atom

```
Pd16S7
1.0
-4.5241 4.5241 4.5241
4.5241 -4.5241 4.5241
4.5241 4.5241 -4.5241
Pd S
16 7
direct
0.0000 0.0000 0.2297
0.0000 0.2297 0.0000
0.0000 0.2473 0.5855
0.0000 0.5855 0.2473
0.2297 0.0000 0.0000
0.2473 0.0000 0.5855
0.2473 0.5855 0.0000
0.3382 0.7527 0.7527
0.4145 0.4145 0.6618
0.4145 0.6618 0.4145
0.5855 0.0000 0.2473
0.5855 0.2473 0.0000
0.6618 0.4145 0.4145
0.7527 0.3382 0.7527
0.7527 0.7527 0.3382
0.7703 0.7703 0.7703
0.0000 0.0000 0.6884
0.0000 0.5000 0.5000
0.0000 0.6884 0.0000
0.3116 0.3116 0.3116
0.5000 0.0000 0.5000
0.5000 0.5000 0.0000
0.6884 0.0000 0.0000
```

The following is a DFT calculation (PBE) of Pm2SbRh3 after structural relaxation.

Output
Space group   R-3m (166)
Total energy   -6.7485 eV per atom

```
Pm2SbRh3
1.0
2.8756 1.6603 4.1769
-2.8756 1.6603 4.1769
0.0000 -3.3205 4.1769
Pm Sb Rh
2 1 3
direct
0.1257 0.1257 0.1257
0.8743 0.8743 0.8743
0.5000 0.5000 0.5000
0.0000 0.5000 0.5000
0.5000 0.0000 0.5000
0.5000 0.5000 0.0000
```

The following is a DFT calculation (PBE) of LaIrPt after structural relaxation.

Output
Space group   F-43m (216)
ΔH_f (0 K)   -0.27 eV per atom
Distance to the lowest polymorph of the same formula   622.3 meV/atom

```
LaIrPt
1.0
0.0000 3.2797 3.2797
3.2797 0.0000 3.2797
3.2797 3.2797 0.0000
La Ir Pt
1 1 1
direct
0.0000 0.0000 0.0000
0.7500 0.7500 0.7500
0.5000 0.5000 0.5000
```

Calculated values (Bohr magnetons per cell) of magnetization for the records, taken in order: 0.0 0.0 0.0.